(1)
First-principles (PBE) data for NdTmPd after structural relaxation, as listed in Alexandria via LeMat-Bulk.

Unit cell a=6.9862 b=6.9862 c=6.9862 alpha=90.00 beta=90.00 gamma=90.00
Space group F-43m (No. 216)
Inequivalent atoms, fractional coordinates:
Nd: 0.0000 0.0000 0.0000 [4 per cell]
Tm: 0.0000 0.0000 0.5000 [4 per cell]
Pd: 0.2500 0.2500 0.2500 [4 per cell]

Properties
**Final energy**: -0.3860 Ry per atom
**Energy of formation**: -0.441 eV per atom

---

(2)
First-principles (PBE) data for NdTm3Pd2 after structural relaxation, as listed in Alexandria via LeMat-Bulk.

Unit cell a=3.5283 b=3.5283 c=11.9047 alpha=90.00 beta=90.00 gamma=90.00
Space group P4/mmm (No. 123)
Inequivalent atoms, fractional coordinates:
Nd: 0.0000 0.0000 0.0000 [1 per cell]
Tm: 0.5000 0.5000 0.2203 [2 per cell]
Tm: 0.5000 0.5000 0.5000 [1 per cell]
Pd: 0.0000 0.0000 0.3579 [2 per cell]

Properties
**Final energy**: -0.3946 Ry per atom
**Energy of formation**: -0.608 eV per atom

---

(3)
First-principles (PBE) data for NdTm2Pd2 after structural relaxation, as listed in Alexandria via LeMat-Bulk.

Unit cell a=5.2136 b=4.7555 c=10.4435 alpha=90.00 beta=95.70 gamma=90.00
Space group P2_1/m (No. 11)
Inequivalent atoms, fractional coordinates:
Nd: 0.1924 0.2500 0.2309 [2 per cell]
Tm: 0.2488 0.7500 0.4972 [2 per cell]
Tm: 0.3310 0.2500 0.8906 [2 per cell]
Pd: 0.1592 0.7500 0.0195 [2 per cell]
Pd: 0.2743 0.2500 0.6261 [2 per cell]

Properties
**Final energy**: -0.4036 Ry per atom
**Energy of formation**: -0.671 eV per atom